CsKTl2Ag | PBE | optimized geometry

Lattice parameters (Å, degrees): 5.757 5.757 6.347 90.00 90.00 90.00
Sites, in units of the cell vectors:
Cs 0.500 0.500 0.500
Tl 0.000 0.500 0.000
Tl 0.500 0.000 0.000
K 0.000 0.000 0.500
Ag 0.000 0.000 0.000

Its space group is No. 123. The value obtained for the spin magnetization is 0.000 μB/atom. The value obtained for the energy relative to the lowest polymorph listed for this composition is 0.0 meV/atom. The formation energy comes out at 64 meV/atom.


Pr4SmSc3 | PBE | optimized geometry

Lattice parameters (Å, degrees): 3.484 5.738 17.417 127.35 95.74 90.00
Sites, in units of the cell vectors:
Pr 0.400 0.131 0.799
Pr 0.600 0.869 0.201
Pr 0.689 0.696 0.379
Pr 0.311 0.304 0.621
Sc 0.000 0.500 0.000
Sc 0.206 0.254 0.412
Sc 0.794 0.746 0.588
Sm 0.500 0.000 0.000

Its space group is No. 12. The value obtained for the spin magnetization is 0.000 μB/atom. The formation energy comes out at 280 meV/atom.